Entry 1:
A plane-wave DFT calculation with GGA-PBE was carried out for crystalline ZrTl3Ag at its relaxed geometry.

Cell lengths 5.6711, 5.6711, 5.6711 Å; angles 90.00, 90.00, 90.00 degrees
Fractional positions:
1 Zr 0.0000 0.0000 0.0000
2 Tl 0.0000 0.5000 0.0000
3 Tl 0.5000 0.0000 0.0000
4 Tl 0.0000 0.0000 0.5000
5 Ag 0.5000 0.5000 0.5000

Computed properties:
The raw total energy comes out at -14.9 eV/cell. Its calculated volume is 182 Å³/cell. Its density of states at the Fermi level is 5.4 states/eV/cell.

=====

Entry 2:
A plane-wave DFT calculation with GGA-PBE was carried out for crystalline NaAc3Pm3Te8 at its relaxed geometry.

Cell lengths 9.1365, 9.1365, 9.2043 Å; angles 119.76, 90.00, 120.00 degrees
Fractional positions:
1 Te 0.7443 0.4886 0.7329
2 Te 0.2629 0.0109 0.2588
3 Te 0.7480 0.0109 0.2588
4 Te 0.2520 0.5040 0.7411
5 Te 0.2557 0.5114 0.2671
6 Te 0.7480 0.4960 0.2589
7 Te 0.7371 0.9891 0.7412
8 Te 0.2520 0.9891 0.7412
9 Ac 0.0000 0.0000 0.0000
10 Ac 0.0000 0.5000 0.0000
11 Ac 0.5000 0.5000 0.0000
12 Pm 0.5000 0.5000 0.5000
13 Pm 0.5000 0.0000 0.5000
14 Pm 0.0000 0.5000 0.5000
15 Na 0.0000 0.0000 0.5000

Computed properties:
The raw total energy comes out at -74.5 eV/cell. Its calculated volume is 545 Å³/cell. Its density of states at the Fermi level is 5.0 states/eV/cell.

=====

Entry 3:
A plane-wave DFT calculation with GGA-PBE was carried out for crystalline K2Ge5Au3 at its relaxed geometry.

Cell lengths 6.4781, 9.0606, 9.0606 Å; angles 73.58, 69.05, 69.05 degrees
Fractional positions:
1 K 0.1234 0.6238 0.1293
2 K 0.8766 0.3762 0.8707
3 K 0.6234 0.1293 0.6238
4 K 0.3766 0.8707 0.3762
5 Au 0.1283 0.2442 0.4992
6 Au 0.3717 0.5008 0.7558
7 Au 0.6283 0.4992 0.2442
8 Au 0.8717 0.7558 0.5008
9 Au 0.2500 0.0000 0.0000
10 Au 0.7500 0.0000 0.0000
11 Ge 0.6262 0.7434 0.0041
12 Ge 0.3738 0.2566 0.9959
13 Ge 0.7500 0.5000 0.5000
14 Ge 0.5044 0.2456 0.2456
15 Ge 0.1262 0.0041 0.7434
16 Ge 0.2500 0.5000 0.5000
17 Ge 0.9956 0.7544 0.7544
18 Ge 0.4956 0.7544 0.7544
19 Ge 0.0044 0.2456 0.2456
20 Ge 0.8738 0.9959 0.2566

Computed properties:
The raw total energy comes out at -73.6 eV/cell. Its calculated volume is 456 Å³/cell. Its density of states at the Fermi level is 8.4 states/eV/cell.

=====

Entry 4:
A plane-wave DFT calculation with GGA-PBE was carried out for crystalline LiPuAg2 at its relaxed geometry.

Cell lengths 3.1561, 3.1561, 7.8427 Å; angles 90.00, 90.00, 90.00 degrees
Fractional positions:
1 Li 0.5000 0.5000 0.0000
2 Pu 0.5000 0.5000 0.5000
3 Ag 0.0000 0.0000 0.2013
4 Ag 0.0000 0.0000 0.7987

Computed properties:
The raw total energy comes out at -22.3 eV/cell. Its calculated volume is 78 Å³/cell. Its density of states at the Fermi level is 7.4 states/eV/cell.